Density functional theory data (PBE) for an optimized crystal structure of TlNiSn2Pb.

## Properties
Space group = P4/mmm
E_form = 0.093 eV/atom
V = 134 Å³ per cell
Size of the total moment = 0.00 μB per cell

abc: 5.0694 5.0694 5.1989
angles: 90.00 90.00 90.00
Closest atoms and distances in Å follow each position.
Sites, in units of the cell vectors:
Tl (0.0000, 0.0000, 0.0000)  2 Ni 2.60
Ni (0.0000, 0.0000, 0.5000)  4 Sn 2.53, 2 Tl 2.60
Sn (0.0000, 0.5000, 0.5000)  2 Ni 2.53
Sn (0.5000, 0.0000, 0.5000)  2 Ni 2.53
Pb (0.5000, 0.5000, 0.0000)  4 Tl 3.58, 8 Sn 3.63


Density functional theory data (PBE) for an optimized crystal structure of Hg5PbBr12.

## Properties
Space group = C2/m
Formation energy (no corrections) = -0.49 eV per atom
V = 630 Å³ per cell
Size of the total moment = 0.00 μB per cell

abc: 7.2030 7.2030 13.8608
angles: 90.47 90.47 118.78
Closest atoms and distances in Å follow each position.
Sites, in units of the cell vectors:
Hg (0.0000, 0.0000, 0.0000)  6 Br 2.83-2.98
Hg (0.1677, 0.8323, 0.5000)  6 Br 2.85-2.92
Hg (0.3336, 0.6664, 0.0000)  6 Br 2.84-2.97
Hg (0.6664, 0.3336, 0.0000)  6 Br 2.84-2.97
Hg (0.8323, 0.1677, 0.5000)  6 Br 2.85-2.92
Pb (0.5000, 0.5000, 0.5000)  6 Br 3.04-3.06
Br (0.0072, 0.6744, 0.8868)  3 Hg 2.83-2.97
Br (0.1438, 0.1438, 0.3819)  2 Hg 2.86, 1 Pb 3.06
Br (0.1526, 0.5067, 0.6201)  2 Hg 2.85-2.92, 1 Pb 3.04
Br (0.3256, 0.9928, 0.1132)  3 Hg 2.83-2.97
Br (0.3412, 0.3412, 0.8861)  3 Hg 2.84-2.98
Br (0.4933, 0.8474, 0.3799)  2 Hg 2.85-2.92, 1 Pb 3.04
Br (0.5067, 0.1526, 0.6201)  2 Hg 2.85-2.92, 1 Pb 3.04
Br (0.6588, 0.6588, 0.1139)  3 Hg 2.84-2.98
Br (0.6744, 0.0072, 0.8868)  3 Hg 2.83-2.97
Br (0.8474, 0.4933, 0.3799)  2 Hg 2.85-2.92, 1 Pb 3.04
Br (0.8562, 0.8562, 0.6181)  2 Hg 2.86, 1 Pb 3.06
Br (0.9928, 0.3256, 0.1132)  3 Hg 2.83-2.97


Density functional theory data (PBE) for an optimized crystal structure of RbTiCd2C.

## Properties
Space group = P4/mmm
E_form = 2.362 eV/atom
V = 144 Å³ per cell
Size of the total moment = 0.00 μB per cell

abc: 5.7459 5.7459 4.3579
angles: 90.00 90.00 90.00
Closest atoms and distances in Å follow each position.
Sites, in units of the cell vectors:
Rb (0.0000, 0.0000, 0.0000)  2 C 2.18
Ti (0.5000, 0.5000, 0.5000)  8 Cd 3.61
Cd (0.0000, 0.5000, 0.0000)  2 Rb 2.87
Cd (0.5000, 0.0000, 0.0000)  2 Rb 2.87
C (0.0000, 0.0000, 0.5000)  2 Rb 2.18


Density functional theory data (PBE) for an optimized crystal structure of TeAs2S2.

## Properties
Space group = P4/mbm
Formation energy (no corrections) = 0.02 eV per atom
V = 253 Å³ per cell
Size of the total moment = 0.00 μB per cell

abc: 8.7467 8.7467 3.3052
angles: 90.00 90.00 90.00
Closest atoms and distances in Å follow each position.
Sites, in units of the cell vectors:
Te (0.0000, 0.0000, 0.0000)  4 As 3.09, 2 Te 3.31
Te (0.5000, 0.5000, 0.0000)  4 As 3.09, 2 Te 3.31
As (0.2406, 0.2594, 0.0000)  2 S 2.28
As (0.2594, 0.7594, 0.0000)  2 S 2.28
As (0.7406, 0.2406, 0.0000)  2 S 2.28
As (0.7594, 0.7406, 0.0000)  2 S 2.28
S (0.1323, 0.6323, 0.5000)  2 As 2.28
S (0.3677, 0.1323, 0.5000)  2 As 2.28
S (0.6323, 0.8677, 0.5000)  2 As 2.28
S (0.8677, 0.3677, 0.5000)  2 As 2.28


The lowest V belongs to which entry?
TlNiSn2Pb